(P)
Crystalline Cd2CuPd3 at its relaxed geometry. Source: Alexandria, functional PBE.

Unit cell a=3.0680 b=3.0680 c=10.3761 alpha=90.00 beta=90.00 gamma=90.00
Positions (direct):
Cd1 0.0000 0.0000 0.1794
Cd2 0.0000 0.0000 0.8206
Cu1 0.0000 0.0000 0.5000
Pd1 0.5000 0.5000 0.0000
Pd2 0.5000 0.5000 0.3565
Pd3 0.5000 0.5000 0.6435

Calculated values
Theoretical density, g/cm³: 10.3

---

(Q)
Crystalline Cd2CuPd3 at its relaxed geometry. Source: Alexandria, functional PBE.

Unit cell a=6.7969 b=6.7969 c=7.0741 alpha=90.00 beta=90.00 gamma=143.20
Positions (direct):
Cd1 0.0000 0.0000 0.0000
Cd2 0.0000 0.0000 0.5000
Cd3 0.3334 0.6666 0.0000
Cd4 0.6666 0.3334 0.0000
Cu1 0.3338 0.6662 0.5000
Cu2 0.6662 0.3338 0.5000
Pd1 0.1720 0.8280 0.2702
Pd2 0.1720 0.8280 0.7298
Pd3 0.5000 0.5000 0.2601
Pd4 0.5000 0.5000 0.7399
Pd5 0.8280 0.1720 0.2702
Pd6 0.8280 0.1720 0.7298

Calculated values
Theoretical density, g/cm³: 10.3

---

(P) ends up most stable, edging out the next structure by 0.006 eV/atom.

---

(P)
Crystalline CdCu6Pd12 at its relaxed geometry. Source: Alexandria, functional PBE.

Unit cell a=7.2741 b=7.2741 c=7.2741 alpha=110.95 beta=110.95 gamma=110.95
Positions (direct):
Cd1 0.0000 0.0000 0.0000
Cu1 0.0490 0.3624 0.5751
Cu2 0.3624 0.5751 0.0490
Cu3 0.4249 0.9510 0.6376
Cu4 0.5751 0.0490 0.3624
Cu5 0.6376 0.4249 0.9510
Cu6 0.9510 0.6376 0.4249
Pd1 0.1116 0.7358 0.1661
Pd2 0.1661 0.1116 0.7358
Pd3 0.2086 0.4811 0.3260
Pd4 0.2642 0.8339 0.8884
Pd5 0.3260 0.2086 0.4811
Pd6 0.4811 0.3260 0.2086
Pd7 0.5189 0.6740 0.7914
Pd8 0.6740 0.7914 0.5189
Pd9 0.7358 0.1661 0.1116
Pd10 0.7914 0.5189 0.6740
Pd11 0.8339 0.8884 0.2642
Pd12 0.8884 0.2642 0.8339

Calculated values
Theoretical density, g/cm³: 10.5

---

(Q)
Crystalline CdCu6Pd12 at its relaxed geometry. Source: Alexandria, functional PBE.

Unit cell a=6.8675 b=6.8675 c=6.8675 alpha=103.18 beta=103.18 gamma=103.18
Positions (direct):
Cd1 0.0000 0.0000 0.0000
Cu1 0.1687 0.1687 0.4234
Cu2 0.1687 0.4234 0.1687
Cu3 0.4234 0.1687 0.1687
Cu4 0.5766 0.8313 0.8313
Cu5 0.8313 0.5766 0.8313
Cu6 0.8313 0.8313 0.5766
Pd1 0.0000 0.2631 0.7369
Pd2 0.0000 0.7369 0.2631
Pd3 0.1932 0.5782 0.5782
Pd4 0.2631 0.0000 0.7369
Pd5 0.2631 0.7369 0.0000
Pd6 0.4218 0.4218 0.8068
Pd7 0.4218 0.8068 0.4218
Pd8 0.5782 0.1932 0.5782
Pd9 0.5782 0.5782 0.1932
Pd10 0.7369 0.0000 0.2631
Pd11 0.7369 0.2631 0.0000
Pd12 0.8068 0.4218 0.4218

Calculated values
Theoretical density, g/cm³: 10.0

---

(P) ends up most stable, edging out the next structure by 0.162 eV/atom.

---

(P)
Crystalline Cd2CuPd2 at its relaxed geometry. Source: Alexandria, functional PBE.

Unit cell a=6.6014 b=6.6014 c=4.1292 alpha=90.00 beta=90.00 gamma=90.00
Positions (direct):
Cd1 0.1641 0.3359 0.0000
Cd2 0.3359 0.8359 0.0000
Cd3 0.6641 0.1641 0.0000
Cd4 0.8359 0.6641 0.0000
Cu1 0.0000 0.0000 0.5000
Cu2 0.5000 0.5000 0.5000
Pd1 0.1426 0.6426 0.5000
Pd2 0.3574 0.1426 0.5000
Pd3 0.6426 0.8574 0.5000
Pd4 0.8574 0.3574 0.5000

Calculated values
Theoretical density, g/cm³: 9.3

---

(Q)
Crystalline Cd2CuPd2 at its relaxed geometry. Source: Alexandria, functional PBE.

Unit cell a=3.9363 b=3.9363 c=12.8128 alpha=90.00 beta=90.00 gamma=90.00
Positions (direct):
Cd1 0.0000 0.5000 0.2500
Cd2 0.0000 0.5000 0.7500
Cd3 0.5000 0.0000 0.2500
Cd4 0.5000 0.0000 0.7500
Cu1 0.0000 0.0000 0.0000
Cu2 0.5000 0.5000 0.5000
Pd1 0.0000 0.0000 0.4003
Pd2 0.0000 0.0000 0.5997
Pd3 0.5000 0.5000 0.0997
Pd4 0.5000 0.5000 0.9003

Calculated values
Theoretical density, g/cm³: 8.4

---

(P) ends up most stable, edging out the next structure by 0.429 eV/atom.

---

(P)
Crystalline CdCuPd3 at its relaxed geometry. Source: Alexandria, functional PBE.

Unit cell a=4.7849 b=4.7946 c=7.5034 alpha=71.39 beta=84.88 gamma=74.09
Positions (direct):
Cd1 0.2498 0.1515 0.1979
Cd2 0.7502 0.8485 0.8021
Cu1 0.2499 0.3549 0.7900
Cu2 0.7501 0.6451 0.2100
Pd1 0.2501 0.5500 0.4007
Pd2 0.2498 0.7486 0.0031
Pd3 0.2499 0.9466 0.6071
Pd4 0.7501 0.0534 0.3929
Pd5 0.7502 0.2514 0.9969
Pd6 0.7499 0.4500 0.5993

Calculated values
Theoretical density, g/cm³: 10.5

---

(Q)
Crystalline CdCuPd3 at its relaxed geometry. Source: Alexandria, functional PBE.

Unit cell a=4.5841 b=5.5833 c=6.7251 alpha=90.00 beta=109.75 gamma=90.00
Positions (direct):
Cd1 0.0019 0.2500 0.0073
Cd2 0.9981 0.7500 0.9927
Cu1 0.3740 0.7500 0.7456
Cu2 0.6260 0.2500 0.2544
Pd1 0.1907 0.0000 0.3810
Pd2 0.1907 0.5000 0.3810
Pd3 0.3850 0.2500 0.7713
Pd4 0.6150 0.7500 0.2287
Pd5 0.8093 0.0000 0.6190
Pd6 0.8093 0.5000 0.6190

Calculated values
Theoretical density, g/cm³: 10.2

---

(R)
Crystalline CdCuPd3 at its relaxed geometry. Source: Alexandria, functional PBE.

Unit cell a=4.6161 b=4.6161 c=4.6161 alpha=90.00 beta=90.00 gamma=90.00
Positions (direct):
Cd1 0.0000 0.0000 0.0000
Cu1 0.5000 0.5000 0.5000
Pd1 0.0000 0.5000 0.5000
Pd2 0.5000 0.0000 0.5000
Pd3 0.5000 0.5000 0.0000

Calculated values
Theoretical density, g/cm³: 8.4

---

(P) ends up most stable, edging out the next structure by 0.116 eV/atom.

---

(P)
Crystalline CdCu4Pd7 at its relaxed geometry. Source: Alexandria, functional PBE.

Unit cell a=5.6219 b=5.6219 c=9.2854 alpha=118.08 beta=118.08 gamma=51.16
Positions (direct):
Cd1 0.0000 0.0000 0.0000
Cu1 0.2814 0.2814 0.6840
Cu2 0.4332 0.4332 0.2330
Cu3 0.5668 0.5668 0.7670
Cu4 0.7186 0.7186 0.3160
Pd1 0.0438 0.0438 0.3808
Pd2 0.2113 0.2113 0.9155
Pd3 0.3415 0.3415 0.4417
Pd4 0.5000 0.5000 0.0000
Pd5 0.6585 0.6585 0.5583
Pd6 0.7887 0.7887 0.0845
Pd7 0.9562 0.9562 0.6192

Calculated values
Theoretical density, g/cm³: 9.5

---

(Q)
Crystalline CdCu4Pd7 at its relaxed geometry. Source: Alexandria, functional PBE.

Unit cell a=4.8024 b=5.4883 c=7.2478 alpha=78.19 beta=71.80 gamma=89.64
Positions (direct):
Cd1 0.0000 0.0000 0.0000
Cu1 0.1672 0.4170 0.3317
Cu2 0.3416 0.8288 0.6615
Cu3 0.6584 0.1712 0.3385
Cu4 0.8328 0.5830 0.6683
Pd1 0.0000 0.5000 0.0000
Pd2 0.1738 0.9150 0.3431
Pd3 0.3256 0.3374 0.6575
Pd4 0.4986 0.7458 0.9971
Pd5 0.5014 0.2542 0.0029
Pd6 0.6744 0.6626 0.3425
Pd7 0.8262 0.0850 0.6569

Calculated values
Theoretical density, g/cm³: 10.4

---

(Q) ends up most stable, edging out the next structure by 0.273 eV/atom.

---

(P)
Crystalline CdCuPd4 at its relaxed geometry. Source: Alexandria, functional PBE.

Unit cell a=8.8265 b=2.7837 c=8.8651 alpha=90.00 beta=116.33 gamma=90.00
Positions (direct):
Cd1 0.0000 0.0000 0.0000
Cd2 0.5000 0.5000 0.0000
Cu1 0.0000 0.5000 0.5000
Cu2 0.5000 0.0000 0.5000
Pd1 0.1538 0.5000 0.8312
Pd2 0.1551 0.0000 0.3529
Pd3 0.3449 0.5000 0.6471
Pd4 0.3462 0.0000 0.1688
Pd5 0.6538 0.0000 0.8312
Pd6 0.6551 0.5000 0.3529
Pd7 0.8449 0.0000 0.6471
Pd8 0.8462 0.5000 0.1688

Calculated values
Theoretical density, g/cm³: 10.2

---

(Q)
Crystalline CdCuPd4 at its relaxed geometry. Source: Alexandria, functional PBE.

Unit cell a=2.9910 b=2.9910 c=10.4715 alpha=90.00 beta=90.00 gamma=90.00
Positions (direct):
Cd1 0.0000 0.0000 0.0000
Cu1 0.5000 0.5000 0.5000
Pd1 0.0000 0.0000 0.3546
Pd2 0.0000 0.0000 0.6454
Pd3 0.5000 0.5000 0.1805
Pd4 0.5000 0.5000 0.8195

Calculated values
Theoretical density, g/cm³: 10.7

---

(Q) ends up most stable, edging out the next structure by 0.107 eV/atom.